Entry 1:
DFT (GGA-PBE) results for crystalline GaTe at its relaxed geometry.

Output
The symmetry is P-1.

Unit cell a=4.137 b=5.530 c=7.030 alpha=78.84 beta=89.79 gamma=68.04
Atoms (fractional coordinates):
Ga 0.111 0.279 0.456
Ga 0.889 0.721 0.544
Te 0.326 0.844 0.759
Te 0.674 0.156 0.241

---

Entry 2:
DFT (GGA-PBE) results for crystalline GaTe at its relaxed geometry.

Output
The symmetry is P4/nmm. The value obtained for the density of states at the Fermi level is 1.5 states/eV/cell.

Unit cell a=4.094 b=4.094 c=6.414 alpha=90.00 beta=90.00 gamma=90.00
Atoms (fractional coordinates):
Ga 0.250 0.250 0.190
Ga 0.750 0.750 0.810
Te 0.250 0.250 0.745
Te 0.750 0.750 0.255

---

Entry 3:
DFT (GGA-PBE) results for crystalline GaTe at its relaxed geometry.

Output
The symmetry is C2. The value obtained for the density of states at the Fermi level is 0.0 states/eV/cell.

Unit cell a=5.875 b=5.875 c=4.182 alpha=104.02 beta=104.02 gamma=70.85
Atoms (fractional coordinates):
Ga 0.137 0.137 0.129
Ga 0.863 0.863 0.871
Te 0.409 0.205 0.744
Te 0.795 0.591 0.256

---

Entry 4:
DFT (GGA-PBE) results for crystalline Ga2Te3 at its relaxed geometry.

Output
The symmetry is Cm. The value obtained for the density of states at the Fermi level is 1.5 states/eV/cell.

Unit cell a=7.348 b=7.348 c=11.739 alpha=95.84 beta=95.84 gamma=31.61
Atoms (fractional coordinates):
Ga 0.000 0.000 0.000
Ga 0.009 0.009 0.337
Ga 0.244 0.244 0.834
Ga 0.755 0.755 0.509
Te 0.059 0.059 0.794
Te 0.330 0.330 0.641
Te 0.556 0.556 0.144
Te 0.566 0.566 0.489
Te 0.806 0.806 0.972
Te 0.819 0.819 0.309

---

Entry 5:
DFT (GGA-PBE) results for crystalline GaTe2 at its relaxed geometry.

Output
The symmetry is Pbcn. The value obtained for the density of states at the Fermi level is 4.0 states/eV/cell.

Unit cell a=5.802 b=8.022 c=7.924 alpha=90.00 beta=90.00 gamma=90.00
Atoms (fractional coordinates):
Ga 0.000 0.107 0.250
Ga 0.000 0.893 0.750
Ga 0.500 0.393 0.750
Ga 0.500 0.607 0.250
Te 0.184 0.389 0.033
Te 0.184 0.611 0.533
Te 0.316 0.111 0.533
Te 0.316 0.889 0.033
Te 0.684 0.111 0.967
Te 0.684 0.889 0.467
Te 0.816 0.389 0.467
Te 0.816 0.611 0.967

---

Entry 6:
DFT (GGA-PBE) results for crystalline Ga2Te3 at its relaxed geometry.

Output
The symmetry is R-3c. The value obtained for the density of states at the Fermi level is 1.5 states/eV/cell.

Unit cell a=7.675 b=7.675 c=7.675 alpha=55.55 beta=55.55 gamma=55.55
Atoms (fractional coordinates):
Ga 0.145 0.145 0.145
Ga 0.355 0.355 0.355
Ga 0.645 0.645 0.645
Ga 0.855 0.855 0.855
Te 0.049 0.750 0.451
Te 0.250 0.549 0.951
Te 0.451 0.049 0.750
Te 0.549 0.951 0.250
Te 0.750 0.451 0.049
Te 0.951 0.250 0.549

---

Raw formation energy values, unit eV per atom, following the record order: -0.31 -0.21 -0.26 -0.25 -0.06 -0.13.
E values, unit eV/atom, following the record order: -3.40 -3.29 -3.34 -3.34 -3.17 -3.22.